Entry 1:
Compound: SrReMo2
Source: Alexandria
Functional: PBE
Structure: optimized geometry

Lattice parameters (Å, degrees): 4.683 4.683 4.683 119.95 119.95 90.09
Fractional coordinates of all 4 atoms:
Mo (0.000, 0.000, 0.000)
Mo (0.250, 0.750, 0.500)
Re (0.500, 0.500, 0.000)
Sr (0.750, 0.250, 0.500)

Results
* space group: I-4m2
* magnetic moment: 0.002 μB per atom
* ΔE_f: 1.06 eV/atom
* energy above the most stable polymorph in this dataset: 388 meV per atom
* E_tot: -31.538 eV per cell



Entry 2:
Compound: Ca2LaRe
Source: Alexandria
Functional: PBE
Structure: optimized geometry

Lattice parameters (Å, degrees): 5.931 5.931 5.931 134.03 134.03 67.04
Fractional coordinates of all 4 atoms:
Re (0.750, 0.250, 0.500)
Ca (0.000, 0.000, 0.000)
Ca (0.500, 0.500, 0.000)
La (0.250, 0.750, 0.500)

Results
* space group: I4/mmm
* magnetic moment: 0.000 μB per atom
* ΔE_f: 0.62 eV/atom
* energy above the most stable polymorph in this dataset: 214 meV per atom
* E_tot: -18.903 eV per cell



Entry 3:
Compound: LaV2Si
Source: Alexandria
Functional: PBE
Structure: optimized geometry

Lattice parameters (Å, degrees): 7.554 7.554 6.049 51.37 51.37 90.00
Last column: magnetic moment on the atom in μB.
Fractional coordinates of all 8 atoms:
Si (0.500, 0.500, 0.000)  -0.04
Si (0.250, 0.750, 0.500)  -0.04
La (0.000, 0.000, 0.000)  0.03
La (0.750, 0.250, 0.500)  0.03
V (0.556, 0.125, 0.250)  0.71
V (0.194, 0.625, 0.250)  0.71
V (0.375, 0.444, 0.750)  0.71
V (0.875, 0.806, 0.750)  0.71

Results
* space group: I-42d
* magnetic moment: 0.408 μB per atom
* E_tot: -53.238 eV per cell
* uncorrected formation energy: 0.4922 eV/atom



Entry 4:
Compound: La4TmSn2
Source: Alexandria
Functional: PBE
Structure: optimized geometry

Lattice parameters (Å, degrees): 5.560 5.560 10.099 74.02 74.02 60.00
Fractional coordinates of all 7 atoms:
La (0.376, 0.376, 0.873)
La (0.218, 0.218, 0.345)
La (0.782, 0.782, 0.655)
La (0.624, 0.624, 0.127)
Tm (0.000, 0.000, 0.000)
Sn (0.104, 0.104, 0.687)
Sn (0.896, 0.896, 0.313)

Results
* space group: R-3m
* magnetic moment: 0.000 μB per atom
* ΔE_f: -0.31 eV/atom
* E_tot: -34.344 eV per cell



Entry 5:
Compound: HgBrCl2
Source: Alexandria
Functional: PBE
Structure: optimized geometry

Lattice parameters (Å, degrees): 5.580 5.450 5.307 62.73 86.78 118.99
Fractional coordinates of all 4 atoms:
Hg (0.000, 0.500, 0.500)
Br (0.500, 0.500, 0.000)
Cl (0.000, 0.000, 0.000)
Cl (0.500, 0.000, 0.500)

Results
* space group: C2/m
* magnetic moment: 0.000 μB per atom
* energy above the most stable polymorph in this dataset: 248 meV per atom
* E_tot: -5.699 eV per cell
* uncorrected formation energy: -0.0079 eV/atom



Entry 6:
Compound: Dy3Al4Cu
Source: Alexandria
Functional: PBE
Structure: optimized geometry

Lattice parameters (Å, degrees): 5.902 5.579 10.671 90.00 90.00 90.00
Fractional coordinates of all 16 atoms:
Al (0.337, 0.500, 0.853)
Al (0.337, 0.500, 0.147)
Al (0.041, 0.243, 0.000)
Al (0.041, 0.757, 0.000)
Al (0.959, 0.743, 0.500)
Al (0.959, 0.257, 0.500)
Al (0.663, 0.000, 0.353)
Al (0.663, 0.000, 0.647)
Cu (0.674, 0.500, 0.000)
Cu (0.326, 0.000, 0.500)
Dy (0.563, 0.000, 0.000)
Dy (0.437, 0.500, 0.500)
Dy (0.827, 0.500, 0.757)
Dy (0.827, 0.500, 0.243)
Dy (0.173, 0.000, 0.743)
Dy (0.173, 0.000, 0.257)

Results
* space group: Pmmn
* magnetic moment: 0.000 μB per atom
* ΔE_f: -0.37 eV/atom
* E_tot: -71.626 eV per cell



Entry 7:
Compound: Ac2BrCl
Source: Alexandria
Functional: PBE
Structure: optimized geometry

Lattice parameters (Å, degrees): 3.903 3.903 9.910 78.64 78.64 60.00
Fractional coordinates of all 4 atoms:
Ac (0.753, 0.753, 0.741)
Ac (0.247, 0.247, 0.259)
Br (0.000, 0.000, 0.000)
Cl (0.500, 0.500, 0.500)

Results
* space group: R-3m
* magnetic moment: 0.000 μB per atom
* E_tot: -16.882 eV per cell
* uncorrected formation energy: -1.2864 eV/atom



Entry 8:
Compound: SrRhSeI2
Source: Alexandria
Functional: PBE
Structure: optimized geometry

Lattice parameters (Å, degrees): 5.182 6.230 5.182 90.00 90.00 90.00
Last column: magnetic moment on the atom in μB.
Fractional coordinates of all 5 atoms:
I (0.000, 0.000, 0.500)  0.04
I (0.500, 0.000, 0.000)  0.07
Sr (0.000, 0.500, 0.000)  0.00
Rh (0.000, 0.000, 0.000)  0.01
Se (0.500, 0.500, 0.500)  0.42

Results
* space group: P4/mmm
* magnetic moment: 0.176 μB per atom
* E_tot: -17.119 eV per cell
* uncorrected formation energy: -0.3001 eV/atom



Entry 9:
Compound: NbAl2TcI
Source: Alexandria
Functional: PBE
Structure: optimized geometry

Lattice parameters (Å, degrees): 4.685 5.422 4.685 90.00 90.00 90.00
Last column: magnetic moment on the atom in μB.
Fractional coordinates of all 5 atoms:
I (0.000, 0.500, 0.000)  -0.04
Nb (0.500, 0.500, 0.500)  2.58
Tc (0.000, 0.000, 0.000)  0.18
Al (0.000, 0.000, 0.500)  -0.02
Al (0.500, 0.000, 0.000)  -0.02

Results
* space group: P4/mmm
* magnetic moment: 0.699 μB per atom
* E_tot: -24.071 eV per cell
* uncorrected formation energy: 1.0800 eV/atom



Entry 10:
Compound: NdGeO3
Source: Alexandria
Functional: PBE
Structure: optimized geometry

Lattice parameters (Å, degrees): 3.968 3.968 3.968 90.00 90.00 90.00
Fractional coordinates of all 5 atoms:
Nd (0.000, 0.000, 0.000)
Ge (0.500, 0.500, 0.500)
O (0.500, 0.500, 0.000)
O (0.500, 0.000, 0.500)
O (0.000, 0.500, 0.500)

Results
* space group: Pm-3m
* magnetic moment: 0.000 μB per atom
* E_tot: -34.632 eV per cell
* uncorrected formation energy: -2.0744 eV/atom



Entry 11:
Compound: PmMgBe2Au5
Source: Alexandria
Functional: PBE
Structure: optimized geometry

Lattice parameters (Å, degrees): 4.665 4.665 7.429 90.00 90.00 90.00
Fractional coordinates of all 9 atoms:
Pm (0.000, 0.000, 0.500)
Mg (0.000, 0.000, 0.000)
Be (0.500, 0.500, 0.165)
Be (0.500, 0.500, 0.835)
Au (0.000, 0.500, 0.217)
Au (0.500, 0.000, 0.217)
Au (0.000, 0.500, 0.783)
Au (0.500, 0.000, 0.783)
Au (0.500, 0.500, 0.500)

Results
* space group: P4/mmm
* magnetic moment: 0.000 μB per atom
* ΔE_f: -0.37 eV/atom
* E_tot: -33.527 eV per cell



Entry 12:
Compound: CeEuGd2
Source: Alexandria
Functional: PBE
Structure: optimized geometry

Lattice parameters (Å, degrees): 5.125 5.128 5.128 90.00 90.00 90.00
Last column: magnetic moment on the atom in μB.
Fractional coordinates of all 4 atoms:
Eu (0.500, 0.500, 0.500)  6.86
Gd (0.000, 0.000, 0.500)  7.21
Gd (0.000, 0.500, 0.000)  7.21
Ce (0.500, 0.000, 0.000)  0.92

Results
* space group: P4/mmm
* magnetic moment: 5.833 μB per atom
* ΔE_f: 0.15 eV/atom
* energy above the most stable polymorph in this dataset: 0 meV per atom
* E_tot: -43.759 eV per cell



Entry 13:
Compound: HfScMn2
Source: Alexandria
Functional: PBE
Structure: optimized geometry

Lattice parameters (Å, degrees): 3.193 3.193 6.388 90.00 90.00 90.00
Last column: magnetic moment on the atom in μB.
Fractional coordinates of all 4 atoms:
Sc (0.500, 0.500, 0.500)  -0.21
Mn (0.000, 0.000, 0.767)  1.58
Mn (0.000, 0.000, 0.233)  1.58
Hf (0.500, 0.500, 0.000)  -0.29

Results
* space group: P4/mmm
* magnetic moment: 0.647 μB per atom
* ΔE_f: 0.00 eV/atom
* E_tot: -34.639 eV per cell



Entry 14:
Compound: LiPr2Au3
Source: Alexandria
Functional: PBE
Structure: optimized geometry

Lattice parameters (Å, degrees): 5.984 5.984 8.889 105.19 105.19 102.80
Fractional coordinates of all 12 atoms:
Li (0.668, 0.668, 0.336)
Li (0.332, 0.332, 0.664)
Pr (0.250, 0.750, 0.500)
Pr (0.752, 0.752, 0.000)
Pr (0.750, 0.250, 0.500)
Pr (0.248, 0.248, 0.000)
Au (0.353, 0.822, 0.175)
Au (0.178, 0.647, 0.825)
Au (0.647, 0.178, 0.825)
Au (0.822, 0.353, 0.175)
Au (0.173, 0.173, 0.347)
Au (0.827, 0.827, 0.653)

Results
* space group: Fmmm
* magnetic moment: 0.000 μB per atom
* ΔE_f: -0.67 eV/atom
* energy above the most stable polymorph in this dataset: 0 meV per atom
* E_tot: -50.706 eV per cell



Entry 15:
Compound: Rb2BaZnI6
Source: Alexandria
Functional: PBE
Structure: optimized geometry

Lattice parameters (Å, degrees): 8.811 8.811 8.810 60.00 60.00 90.00
Fractional coordinates of all 10 atoms:
I (0.270, 0.270, 0.460)
I (0.730, 0.730, 0.540)
I (0.270, 0.270, 0.000)
I (0.730, 0.730, 0.000)
I (0.730, 0.270, 0.000)
I (0.270, 0.730, 0.000)
Zn (0.500, 0.500, 0.000)
Ba (0.000, 0.000, 0.000)
Rb (0.750, 0.250, 0.500)
Rb (0.250, 0.750, 0.500)

Results
* space group: Fm-3m
* magnetic moment: 0.000 μB per atom
* E_tot: -26.291 eV per cell
* uncorrected formation energy: -1.1858 eV/atom



Entry 16:
Compound: ZrHg2Pb
Source: Alexandria
Functional: PBE
Structure: optimized geometry

Lattice parameters (Å, degrees): 3.298 5.378 6.461 56.66 90.00 90.00
Fractional coordinates of all 4 atoms:
Pb (0.500, 0.500, 0.500)
Hg (0.000, 0.000, 0.000)
Hg (0.500, 0.500, 0.000)
Zr (0.000, 0.000, 0.500)

Results
* space group: P2/m
* magnetic moment: 0.000 μB per atom
* ΔE_f: -0.03 eV/atom
* E_tot: -12.973 eV per cell



Entry 17:
Compound: MgNiSnSe
Source: Alexandria
Functional: PBE
Structure: optimized geometry

Lattice parameters (Å, degrees): 3.641 3.641 11.960 90.00 90.00 90.00
Fractional coordinates of all 8 atoms:
Mg (0.000, 0.000, 0.032)
Mg (0.500, 0.500, 0.532)
Ni (0.000, 0.000, 0.255)
Ni (0.500, 0.500, 0.755)
Sn (0.000, 0.000, 0.718)
Sn (0.500, 0.500, 0.218)
Se (0.000, 0.000, 0.460)
Se (0.500, 0.500, 0.960)

Results
* space group: I4mm
* magnetic moment: 0.000 μB per atom
* energy above the most stable polymorph in this dataset: 0 meV per atom
* E_tot: -33.370 eV per cell
* uncorrected formation energy: -0.4554 eV/atom



Entry 18:
Compound: BaAgGe2Au
Source: Alexandria
Functional: PBE
Structure: optimized geometry

Lattice parameters (Å, degrees): 5.091 5.307 5.091 90.00 90.00 90.00
Fractional coordinates of all 5 atoms:
Ge (0.000, 0.000, 0.500)
Ge (0.500, 0.000, 0.000)
Au (0.000, 0.500, 0.000)
Ba (0.500, 0.500, 0.500)
Ag (0.000, 0.000, 0.000)

Results
* space group: P4/mmm
* magnetic moment: 0.000 μB per atom
* ΔE_f: 0.05 eV/atom
* energy above the most stable polymorph in this dataset: 466 meV per atom
* E_tot: -17.036 eV per cell



Entry 19:
Compound: PmY3Tm7
Source: Alexandria
Functional: PBE
Structure: optimized geometry

Lattice parameters (Å, degrees): 5.488 9.867 8.835 105.73 128.40 90.00
Fractional coordinates of all 11 atoms:
Pm (0.500, 0.500, 0.500)
Y (0.278, 0.998, 0.778)
Y (0.000, 0.500, 0.000)
Y (0.722, 0.002, 0.222)
Tm (0.920, 0.832, 0.920)
Tm (0.853, 0.708, 0.353)
Tm (0.676, 0.357, 0.176)
Tm (0.324, 0.643, 0.824)
Tm (0.500, 0.000, 0.500)
Tm (0.147, 0.292, 0.647)
Tm (0.080, 0.168, 0.080)

Results
* space group: P2/m
* magnetic moment: 0.000 μB per atom
* ΔE_f: 0.17 eV/atom
* energy above the most stable polymorph in this dataset: 0 meV per atom
* E_tot: -53.600 eV per cell



Entry 20:
Compound: KFeBr2
Source: Alexandria
Functional: PBE
Structure: optimized geometry

Lattice parameters (Å, degrees): 3.934 3.977 7.679 90.00 90.00 90.00
Last column: magnetic moment on the atom in μB.
Fractional coordinates of all 4 atoms:
Br (0.000, 0.000, 0.759)  0.02
Br (0.500, 0.500, 0.365)  0.04
Fe (0.000, 0.000, 0.430)  2.98
K (0.500, 0.500, 0.947)  0.00

Results
* space group: Pmm2
* magnetic moment: 0.820 μB per atom
* energy above the most stable polymorph in this dataset: 174 meV per atom
* E_tot: -14.722 eV per cell
* uncorrected formation energy: -0.4541 eV/atom



Entry 21:
Compound: YHo5Er6
Source: Alexandria
Functional: PBE
Structure: optimized geometry

Lattice parameters (Å, degrees): 11.663 6.099 6.092 59.97 85.02 80.00
Fractional coordinates of all 12 atoms:
Y (0.000, 0.000, 0.000)
Ho (0.500, 0.167, 0.667)
Ho (0.000, 0.333, 0.333)
Ho (0.500, 0.500, 0.000)
Ho (0.000, 0.667, 0.667)
Ho (0.500, 0.833, 0.333)
Er (0.749, 0.083, 0.334)
Er (0.251, 0.583, 0.334)
Er (0.251, 0.251, 0.000)
Er (0.749, 0.749, 0.000)
Er (0.749, 0.417, 0.666)
Er (0.251, 0.917, 0.666)

Results
* space group: C2/m
* magnetic moment: 0.000 μB per atom
* ΔE_f: 0.02 eV/atom
* E_tot: -56.466 eV per cell



Entry 22:
Compound: SrAcSmMg
Source: Alexandria
Functional: PBE
Structure: optimized geometry

Lattice parameters (Å, degrees): 5.982 5.982 5.982 60.00 60.00 60.00
Fractional coordinates of all 4 atoms:
Sr (0.750, 0.750, 0.750)
Ac (0.500, 0.500, 0.500)
Mg (0.000, 0.000, 0.000)
Sm (0.250, 0.250, 0.250)

Results
* space group: F-43m
* magnetic moment: 0.000 μB per atom
* ΔE_f: 0.16 eV/atom
* E_tot: -11.462 eV per cell



Entry 23:
Compound: HfAlSi
Source: Alexandria
Functional: PBE
Structure: optimized geometry

Lattice parameters (Å, degrees): 3.771 4.005 7.021 90.00 105.53 90.00
Fractional coordinates of all 6 atoms:
Si (0.174, 0.000, 0.931)
Si (0.371, 0.500, 0.326)
Hf (0.722, 0.500, 0.029)
Hf (0.018, 0.500, 0.618)
Al (0.543, 0.000, 0.669)
Al (0.871, 0.000, 0.324)

Results
* space group: Amm2
* magnetic moment: 0.000 μB per atom
* E_tot: -40.800 eV per cell
* uncorrected formation energy: -0.4269 eV/atom



Entry 24:
Compound: Tb4AuSe5
Source: Alexandria
Functional: PBE
Structure: optimized geometry

Lattice parameters (Å, degrees): 4.065 8.812 9.229 106.73 102.72 90.00
Fractional coordinates of all 10 atoms:
Tb (0.319, 0.888, 0.639)
Tb (0.997, 0.726, 0.993)
Tb (0.681, 0.112, 0.361)
Tb (0.003, 0.274, 0.007)
Au (0.500, 0.000, 0.000)
Se (0.839, 0.684, 0.678)
Se (0.839, 0.134, 0.679)
Se (0.161, 0.866, 0.321)
Se (0.500, 0.500, 0.000)
Se (0.161, 0.316, 0.322)

Results
* space group: C2/m
* magnetic moment: 0.000 μB per atom
* E_tot: -54.587 eV per cell
* uncorrected formation energy: -1.5366 eV/atom



Entry 25:
Compound: DyHo2CdAu4
Source: Alexandria
Functional: PBE
Structure: optimized geometry

Lattice parameters (Å, degrees): 4.998 4.998 8.736 73.38 73.38 60.00
Fractional coordinates of all 8 atoms:
Dy (0.500, 0.500, 0.500)
Ho (0.743, 0.743, 0.770)
Ho (0.257, 0.257, 0.230)
Cd (0.000, 0.000, 0.000)
Au (0.379, 0.379, 0.862)
Au (0.867, 0.867, 0.398)
Au (0.133, 0.133, 0.602)
Au (0.621, 0.621, 0.138)

Results
* space group: R-3m
* magnetic moment: 0.000 μB per atom
* ΔE_f: -0.78 eV/atom
* E_tot: -34.024 eV per cell



Entry 26:
Compound: Ho2HfPaP4
Source: Alexandria
Functional: PBE
Structure: optimized geometry

Lattice parameters (Å, degrees): 3.903 6.732 6.781 109.26 90.00 90.00
Fractional coordinates of all 8 atoms:
Ho (0.500, 0.000, 0.500)
Ho (0.000, 0.500, 0.500)
Hf (0.000, 0.000, 0.000)
Pa (0.500, 0.500, 0.000)
P (0.500, 0.239, 0.237)
P (0.500, 0.761, 0.763)
P (0.000, 0.244, 0.757)
P (0.000, 0.756, 0.243)

Results
* space group: P2/m
* magnetic moment: 0.000 μB per atom
* ΔE_f: -1.44 eV/atom
* E_tot: -61.793 eV per cell